Compound: NiPt
Source: Alexandria via LeMat-Bulk
Functional: PBEsol
Structure: optimized geometry

CIF file:
```
data_NiPt
_chemical_formula_sum 'Ni6 Pt6'
_symmetry_space_group_name_H-M 'P 1 m 1'
_symmetry_Int_Tables_number 6
_cell_length_a 7.823
_cell_length_b 2.674
_cell_length_c 7.872
_cell_angle_alpha 90.00
_cell_angle_beta 109.80
_cell_angle_gamma 90.00
loop_
_symmetry_equiv_pos_as_xyz
'x,y,z'
'x,-y,z'
loop_
_atom_site_label
_atom_site_type_symbol
_atom_site_fract_x
_atom_site_fract_y
_atom_site_fract_z
Ni1 Ni 0.000 0.000 0.000
Ni2 Ni 0.001 0.000 0.340
Ni3 Ni 0.256 0.500 0.589
Ni4 Ni 0.491 0.000 0.508
Ni5 Ni 0.499 0.000 0.831
Ni6 Ni 0.753 0.500 0.422
Pt1 Pt 0.000 0.000 0.656
Pt2 Pt 0.240 0.500 0.263
Pt3 Pt 0.255 0.500 0.917
Pt4 Pt 0.509 0.000 0.185
Pt5 Pt 0.737 0.500 0.744
Pt6 Pt 0.763 0.500 0.092
```

Computed properties:
Total moment = 5.97 μB per cell
DFT formation energy = -0.040 eV/atom
N(E_F) = 1.622 states/eV per atom

---

Compound: NiPt2
Source: Alexandria via LeMat-Bulk
Functional: PBEsol
Structure: optimized geometry

CIF file:
```
data_NiPt2
_chemical_formula_sum 'Ni4 Pt8'
_symmetry_space_group_name_H-M 'C 1 m 1'
_symmetry_Int_Tables_number 8
_cell_length_a 9.961
_cell_length_b 2.700
_cell_length_c 6.377
_cell_angle_alpha 90.00
_cell_angle_beta 105.65
_cell_angle_gamma 90.00
loop_
_symmetry_equiv_pos_as_xyz
'x,y,z'
'x,-y,z'
'x+1/2,y+1/2,z'
'x+1/2,-y+1/2,z'
loop_
_atom_site_label
_atom_site_type_symbol
_atom_site_fract_x
_atom_site_fract_y
_atom_site_fract_z
Ni1 Ni 0.000 0.000 0.000
Ni2 Ni 0.165 0.500 0.319
Pt1 Pt 0.058 0.000 0.592
Pt2 Pt 0.211 0.500 0.942
Pt3 Pt 0.336 0.000 0.664
Pt4 Pt 0.389 0.000 0.260
```

Computed properties:
Total moment = 5.70 μB per cell
DFT formation energy = 0.017 eV/atom
N(E_F) = 1.787 states/eV per atom

---

Which uncorrected energy belongs to each record? In order, -6.60 -6.68 eV/atom.